1.
This record from the Alexandria database describes a geometry-optimized Ta2AlHg structure. The functional is PBE.

The energy relative to the elements comes out at 0.2133 eV per atom. As for the energy above the most stable polymorph in this dataset: 14.67 kJ/mol of atoms. As for the total energy: -80.7 eV for the cell shown.

The space group is R3m (No. 160, hexagonal axes) and the conventional cell measures 2.9750, 2.9750 and 29.4239 Å, with angles of 90.00, 90.00 and 120.00 degrees. The distinct sites, in fractional coordinates, are Ta at (0.0000, 0.0000, 0.0000), Ta at (0.0000, 0.0000, 0.2479), Al at (0.0000, 0.0000, 0.7429) and Hg at (0.0000, 0.0000, 0.4941).

=====

2.
This record from the Alexandria database describes a geometry-optimized NaCoCl3 structure. The functional is PBE.

For the uncorrected formation energy, the calculation gives -4.4 eV per formula unit. As for the total energy: -18.3 eV for the cell shown.

The space group is Pm-3m (No. 221) and the conventional cell measures 4.811, 4.811 and 4.811 Å, with angles of 90.00, 90.00 and 90.00 degrees. The distinct sites, in fractional coordinates, are Na at (0.000, 0.000, 0.000), Co at (0.500, 0.500, 0.500) and Cl at (0.000, 0.500, 0.500).

=====

3.
This record from the Alexandria database describes a geometry-optimized Rb4Np3TiTe8 structure. The functional is PBE.

For the uncorrected formation energy, the calculation gives -13.6 eV per formula unit. As for the total energy: -268.0 eV for the cell shown.

The space group is R-3m (No. 166, hexagonal axes) and the conventional cell measures 8.9582, 8.9582 and 25.6886 Å, with angles of 90.00, 90.00 and 120.00 degrees. The distinct sites, in fractional coordinates, are Rb at (0.0000, 0.0000, 0.0000), Rb at (0.0000, 0.5000, 0.0000), Np at (0.0000, 0.5000, 0.5000), Ti at (0.0000, 0.0000, 0.5000), Te at (0.0000, 0.0000, 0.2347) and Te at (0.0175, 0.5088, 0.2312).

=====

4.
This record from the Alexandria database describes a geometry-optimized Sm6In2Pd structure. The functional is PBE.

The energy relative to the elements comes out at -0.1993 eV per atom. As for the energy above the most stable polymorph in this dataset: 19.38 kJ/mol of atoms. As for the total energy: -81.6 eV for the cell shown.

The space group is Immm (No. 71) and the conventional cell measures 5.195, 7.427 and 15.276 Å, with angles of 90.00, 90.00 and 90.00 degrees. The distinct sites, in fractional coordinates, are Sm at (0.000, 0.232, 0.000), Sm at (0.000, 0.258, 0.342), In at (0.000, 0.500, 0.167) and Pd at (0.000, 0.500, 0.500).